(1)
Density functional theory data (GGA-PBE) for BeReRh3 after structural relaxation.

a = 4.0909 Å, b = 4.0909 Å, c = 4.0909 Å
α = 90.00°, β = 90.00°, γ = 90.00°
With the nearest neighbours (Å) after each atom.
Element x y z (fractional)
Be  0.0000  0.0000  0.0000  6 Rh 2.05
Re  0.5000  0.5000  0.5000  12 Rh 2.89
Rh  0.0000  0.0000  0.5000  2 Be 2.05
Rh  0.0000  0.5000  0.0000  2 Be 2.05
Rh  0.5000  0.0000  0.0000  2 Be 2.05

Summary:
**Formation energy**: 0.3973 eV/atom
**Electronic total energy**: -7.2485 eV/atom
**Distance to the lowest polymorph of the same formula**: 0.00 kJ/mol of atoms
**Space-group type**: Pm-3m



(2)
Density functional theory data (GGA-PBE) for BeRe2Rh after structural relaxation.

a = 8.5918 Å, b = 8.5918 Å, c = 8.5918 Å
α = 18.24°, β = 18.24°, γ = 18.24°
With the nearest neighbours (Å) after each atom.
Element x y z (fractional)
Be  0.0000  0.0000  0.0000  6 Re 2.55, 6 Be 2.72
Re  0.2541  0.2541  0.2541  3 Be 2.55, 3 Rh 2.72, 6 Re 2.72
Re  0.7459  0.7459  0.7459  3 Be 2.55, 3 Rh 2.72, 6 Re 2.72
Rh  0.5000  0.5000  0.5000  6 Re 2.72, 6 Rh 2.72

Summary:
**Formation energy**: 0.1175 eV/atom
**Electronic total energy**: -8.8760 eV/atom
**Space-group type**: R-3m



(3)
Density functional theory data (GGA-PBE) for BeReRh2 after structural relaxation.

a = 2.7741 Å, b = 2.7741 Å, c = 6.6163 Å
α = 90.00°, β = 90.00°, γ = 90.00°
With the nearest neighbours (Å) after each atom.
Element x y z (fractional)
Be  0.0000  0.0000  0.0000  4 Rh 2.31, 4 Re 2.52
Re  0.5000  0.5000  0.2385  4 Be 2.52, 5 Rh 2.67-2.80, 4 Re 2.77
Rh  0.0000  0.0000  0.5112  4 Re 2.67, 8 Rh 2.77-2.81
Rh  0.5000  0.5000  0.8146  4 Be 2.31

Summary:
**Formation energy**: -0.2069 eV/atom
**Electronic total energy**: -7.9262 eV/atom
**Space-group type**: P4mm



(4)
Density functional theory data (GGA-PBE) for Be2ReRh after structural relaxation.

a = 7.6016 Å, b = 7.6016 Å, c = 7.6016 Å
α = 20.63°, β = 20.63°, γ = 20.63°
With the nearest neighbours (Å) after each atom.
Element x y z (fractional)
Be  0.2454  0.2454  0.2454  3 Rh 2.36, 3 Re 2.51
Be  0.7546  0.7546  0.7546  3 Rh 2.36, 3 Re 2.51
Re  0.0000  0.0000  0.0000  6 Be 2.51, 6 Re 2.72
Rh  0.5000  0.5000  0.5000  6 Be 2.36

Summary:
**Formation energy**: -0.0733 eV/atom
**Electronic total energy**: -6.8863 eV/atom
**Distance to the lowest polymorph of the same formula**: 19.33 kJ/mol of atoms
**Space-group type**: R-3m



(5)
Density functional theory data (GGA-PBE) for BeReRh2 after structural relaxation.

a = 8.0892 Å, b = 8.0892 Å, c = 8.0892 Å
α = 19.62°, β = 19.62°, γ = 19.62°
With the nearest neighbours (Å) after each atom.
Element x y z (fractional)
Be  0.0000  0.0000  0.0000  6 Rh 2.38
Re  0.5000  0.5000  0.5000  6 Rh 2.71, 6 Re 2.76
Rh  0.2587  0.2587  0.2587  3 Be 2.38
Rh  0.7413  0.7413  0.7413  3 Be 2.38

Summary:
**Formation energy**: -0.1449 eV/atom
**Electronic total energy**: -7.8642 eV/atom
**Space-group type**: R-3m



(6)
Density functional theory data (GGA-PBE) for Be2ReRh after structural relaxation.

a = 4.5150 Å, b = 4.5150 Å, c = 4.1466 Å
α = 107.69°, β = 107.69°, γ = 34.54°
With the nearest neighbours (Å) after each atom.
Element x y z (fractional)
Be  0.0000  0.0000  0.0000  2 Be 2.32, 3 Rh 2.45-2.46, 4 Re 2.45-2.51
Be  0.7171  0.7171  0.2988  2 Be 2.32, 3 Re 2.43-2.49, 4 Rh 2.44-2.53
Re  0.4742  0.4742  0.4747  7 Be 2.43-2.51, 2 Re 2.68, 2 Rh 2.71
Rh  0.2474  0.2474  0.8320  7 Be 2.44-2.53, 2 Rh 2.68, 2 Re 2.71

Summary:
**Formation energy**: -0.1670 eV/atom
**Electronic total energy**: -6.9800 eV/atom
**Distance to the lowest polymorph of the same formula**: 10.29 kJ/mol of atoms
**Space-group type**: Cm



(7)
Density functional theory data (GGA-PBE) for BeRe2Rh after structural relaxation.

a = 4.7124 Å, b = 4.7124 Å, c = 4.5108 Å
α = 99.76°, β = 99.76°, γ = 33.71°
With the nearest neighbours (Å) after each atom.
Element x y z (fractional)
Be  0.0000  0.0000  0.0000  4 Rh 2.64, 6 Re 2.66-2.72, 2 Be 2.73
Re  0.2477  0.2477  0.7541  6 Re 2.60-2.73, 3 Be 2.66-2.72, 3 Rh 2.70-2.72
Re  0.7523  0.7523  0.2459  6 Re 2.60-2.73, 3 Be 2.66-2.72, 3 Rh 2.70-2.72
Rh  0.5000  0.5000  0.5000  4 Be 2.64, 6 Re 2.70-2.72, 2 Rh 2.73

Summary:
**Formation energy**: 0.0364 eV/atom
**Electronic total energy**: -8.9571 eV/atom
**Space-group type**: C2/m



(8)
Density functional theory data (GGA-PBE) for BeRe2Rh after structural relaxation.

a = 4.9477 Å, b = 4.9477 Å, c = 4.9477 Å
α = 146.97°, β = 127.43°, γ = 63.50°
With the nearest neighbours (Å) after each atom.
Element x y z (fractional)
Be  0.0000  0.0000  0.0000  2 Rh 2.27, 2 Re 2.36
Re  0.2251  0.7251  0.5000  2 Be 2.36
Re  0.5079  0.5079  0.0000  4 Be 2.60, 4 Rh 2.74-2.87, 6 Re 2.76-2.85
Rh  0.7875  0.2875  0.5000  2 Be 2.27

Summary:
**Formation energy**: -0.0474 eV/atom
**Electronic total energy**: -9.0409 eV/atom
**Space-group type**: Imm2